First-principles (PBE) data for an optimized crystal structure of Cu2PtCl, as listed in Alexandria.

Cell lengths 4.630, 4.630, 2.927 Å; angles 90.00, 90.00, 110.47 degrees
Element x y z (fractional)
Cu 0.000 0.500 0.000
Cu 0.500 0.000 0.000
Pt 0.000 0.000 0.500
Cl 0.500 0.500 0.500

Values from the calculation:
* raw formation energy: 0.24 eV/atom

First-principles (PBE) data for an optimized crystal structure of CdH3Cl, as listed in Alexandria.

Cell lengths 3.891, 3.891, 3.891 Å; angles 90.00, 90.00, 90.00 degrees
Element x y z (fractional)
Cd 0.000 0.000 0.000
H 0.000 0.500 0.500
H 0.500 0.000 0.500
H 0.500 0.500 0.000
Cl 0.500 0.500 0.500

Values from the calculation:
* energy: -1.626 eV per atom

First-principles (PBE) data for an optimized crystal structure of TlAsPb2, as listed in Alexandria.

Cell lengths 3.346, 4.862, 7.218 Å; angles 90.00, 99.55, 90.00 degrees
Element x y z (fractional)
Tl 0.000 0.000 0.000
As 0.000 0.000 0.500
Pb 0.414 0.500 0.721
Pb 0.586 0.500 0.279

Values from the calculation:
* DFT formation energy: 0.1074 eV/atom

First-principles (PBE) data for an optimized crystal structure of Th3Ni5H12, as listed in Alexandria.

Cell lengths 10.045, 10.045, 10.045 Å; angles 109.47, 109.47, 109.47 degrees
Element x y z (fractional)
Th 0.125 0.250 0.375
Th 0.125 0.375 0.750
Th 0.250 0.375 0.125
Th 0.250 0.875 0.625
Th 0.375 0.125 0.250
Th 0.375 0.750 0.125
Th 0.625 0.250 0.875
Th 0.625 0.875 0.750
Th 0.750 0.125 0.375
Th 0.750 0.625 0.875
Th 0.875 0.625 0.250
Th 0.875 0.750 0.625
Ni 0.000 0.000 0.000
Ni 0.000 0.000 0.500
Ni 0.000 0.500 0.000
Ni 0.000 0.500 0.500
Ni 0.125 0.750 0.875
Ni 0.125 0.875 0.250
Ni 0.250 0.125 0.875
Ni 0.250 0.625 0.375
Ni 0.375 0.250 0.625
Ni 0.375 0.625 0.750
Ni 0.500 0.000 0.000
Ni 0.500 0.000 0.500
Ni 0.500 0.500 0.000
Ni 0.500 0.500 0.500
Ni 0.625 0.375 0.250
Ni 0.625 0.750 0.375
Ni 0.750 0.375 0.625
Ni 0.750 0.875 0.125
Ni 0.875 0.125 0.750
Ni 0.875 0.250 0.125
H 0.001 0.182 0.097
H 0.001 0.319 0.904
H 0.085 0.682 0.681
H 0.085 0.903 0.404
H 0.096 0.597 0.415
H 0.096 0.999 0.681
H 0.097 0.001 0.182
H 0.097 0.596 0.915
H 0.181 0.182 0.585
H 0.181 0.499 0.596
H 0.182 0.097 0.001
H 0.182 0.585 0.181
H 0.318 0.319 0.915
H 0.318 0.499 0.403
H 0.319 0.904 0.001
H 0.319 0.915 0.318
H 0.403 0.318 0.499
H 0.403 0.585 0.904
H 0.404 0.085 0.903
H 0.404 0.819 0.501
H 0.415 0.096 0.597
H 0.415 0.819 0.818
H 0.499 0.403 0.318
H 0.499 0.596 0.181
H 0.501 0.404 0.819
H 0.501 0.597 0.682
H 0.585 0.181 0.182
H 0.585 0.904 0.403
H 0.596 0.181 0.499
H 0.596 0.915 0.097
H 0.597 0.415 0.096
H 0.597 0.682 0.501
H 0.681 0.085 0.682
H 0.681 0.096 0.999
H 0.682 0.501 0.597
H 0.682 0.681 0.085
H 0.818 0.415 0.819
H 0.818 0.903 0.999
H 0.819 0.501 0.404
H 0.819 0.818 0.415
H 0.903 0.404 0.085
H 0.903 0.999 0.818
H 0.904 0.001 0.319
H 0.904 0.403 0.585
H 0.915 0.097 0.596
H 0.915 0.318 0.319
H 0.999 0.681 0.096
H 0.999 0.818 0.903

Values from the calculation:
* energy: -4.776 eV per atom